Below is a relaxed CrGePt3 crystal, with properties calculated at the PBE level.

energy relative to the lowest polymorph listed for this composition = 298.0 meV per atom

Lattice parameters (Å, degrees): 4.6223 4.6223 4.6223 90.00 90.00 90.00
Space group Pm-3m (No. 221)
Symmetry-distinct sites (fractional):
Cr (0.0000, 0.0000, 0.0000) [1 per cell]
Ge (0.5000, 0.5000, 0.5000) [1 per cell]
Pt (0.0000, 0.0000, 0.5000) [3 per cell]

Below is a relaxed Cr3GePt crystal, with properties calculated at the PBE level.

energy relative to the lowest polymorph listed for this composition = 82.4 meV per atom

Lattice parameters (Å, degrees): 4.8374 4.8374 4.8374 90.00 90.00 90.00
Space group Pm-3m (No. 221)
Symmetry-distinct sites (fractional):
Cr (0.0000, 0.0000, 0.5000) [3 per cell]
Ge (0.5000, 0.5000, 0.5000) [1 per cell]
Pt (0.0000, 0.0000, 0.0000) [1 per cell]

Below is a relaxed CrGePt3 crystal, with properties calculated at the PBE level.

energy relative to the lowest polymorph listed for this composition = 0.0 meV per atom

Lattice parameters (Å, degrees): 4.6383 4.6383 4.6383 90.00 90.00 90.00
Space group Pm-3m (No. 221)
Symmetry-distinct sites (fractional):
Cr (0.0000, 0.0000, 0.0000) [1 per cell]
Ge (0.5000, 0.5000, 0.5000) [1 per cell]
Pt (0.0000, 0.5000, 0.5000) [3 per cell]

no.,VASP energy (eV per atom)
1,-5.632
2,-6.769
3,-5.930